Entry 1:
Material: Tb5SbTe5
Method: DFT, PBE-GGA
State: relaxed

```
Tb5SbTe5
1.0
-4.974 1.566 3.353
2.700 -5.209 6.438
5.142 5.485 -0.664
Te Tb Sb
5 5 1
Cartesian
3.573 0.757 4.946
2.242 3.300 1.785
1.350 -2.605 3.219
0.627 -1.459 7.342
-0.704 1.085 4.180
1.107 1.524 6.661
-2.487 0.783 1.677
3.117 -2.277 5.687
-0.248 4.118 3.439
1.762 0.317 2.466
0.000 0.000 0.000
```

Computed properties:
**E_form (uncorrected)**: -1.3736 eV/atom
**SG**: C2/m, No. 12
**Magnetic moment**: 0.0000 μB per atom

=====

Entry 2:
Material: Tb8Sb5Te
Method: DFT, PBE-GGA
State: relaxed

```
Tb8Sb5Te
1.0
7.548 0.000 -2.614
-3.758 6.517 -2.687
-0.033 0.000 7.988
Te Tb Sb
1 8 5
Cartesian
-0.016 3.258 3.994
-1.877 4.897 -2.175
3.237 2.564 4.293
1.329 5.839 2.942
1.092 1.620 1.614
-1.907 4.908 1.789
4.834 1.609 0.304
1.351 3.952 -1.012
6.971 0.678 2.994
3.758 0.000 2.687
2.319 0.814 6.662
3.303 4.070 1.361
-1.402 2.447 -0.002
3.296 5.703 -2.646
```

Computed properties:
**E_form (uncorrected)**: -1.0298 eV/atom
**SG**: I-4, No. 82
**Magnetic moment**: 0.0000 μB per atom

=====

Entry 3:
Material: Tb12Sb5Te3
Method: DFT, PBE-GGA
State: relaxed

```
Tb12Sb5Te3
1.0
15.414 0.000 0.000
-5.138 14.533 0.000
-5.138 -7.266 12.586
Tb Sb Te
48 20 12
Cartesian
-2.651 -5.739 11.863
3.528 6.241 5.144
2.139 1.774 11.437
-0.430 5.385 0.962
-1.958 -0.779 5.570
-5.568 0.108 10.475
7.278 7.374 2.110
-5.056 5.739 11.863
-4.179 12.234 1.684
6.748 11.209 3.460
-1.610 -3.942 9.126
2.999 5.493 1.149
8.318 -0.801 2.833
6.097 -1.025 7.442
-6.097 3.942 9.126
-0.959 8.291 5.144
-1.610 4.967 10.901
10.358 -3.495 7.977
1.958 5.686 8.403
6.748 2.299 1.684
5.749 6.465 9.753
7.789 13.005 0.723
-4.527 6.487 7.016
9.317 -4.967 10.901
-5.220 10.762 4.608
5.056 2.243 7.254
2.651 -2.243 7.254
-0.611 0.801 2.833
0.611 8.846 8.403
5.568 -1.774 11.437
-2.651 3.495 7.977
-3.180 8.067 9.753
2.139 -1.882 11.624
10.194 1.528 0.723
2.999 9.148 0.962
9.665 0.779 5.570
10.706 7.158 2.110
-0.430 9.040 1.149
7.789 3.771 4.608
0.082 5.023 5.331
11.235 3.324 3.460
7.096 8.045 7.016
-2.139 -0.108 10.475
4.527 -1.580 4.183
1.610 1.025 7.442
2.487 9.510 5.331
3.180 1.580 4.183
5.568 1.882 11.624
1.285 4.541 11.013
2.569 3.633 6.293
-1.285 3.633 3.146
-1.285 11.808 1.573
3.854 10.900 3.146
7.707 0.000 0.000
3.854 2.725 1.573
6.423 6.358 4.720
0.000 0.000 0.000
8.992 -0.908 7.866
-5.138 3.633 6.293
6.423 3.633 9.439
5.138 -3.633 6.293
-3.854 8.175 4.720
-1.285 0.908 7.866
5.138 7.266 0.000
-2.569 -3.633 6.293
-2.569 7.266 0.000
6.423 -4.541 11.013
1.285 -3.633 9.439
-6.423 7.266 9.439
11.561 0.000 3.146
3.854 0.000 9.439
1.285 7.266 3.146
6.423 0.908 4.720
8.992 4.541 1.573
8.992 9.991 1.573
-1.285 6.358 7.866
-3.854 -2.725 11.013
-3.854 2.725 11.013
1.285 -0.908 4.720
3.854 8.175 7.866
```

Computed properties:
**E_form (uncorrected)**: -0.4443 eV/atom
**SG**: Ia-3d, No. 230
**Magnetic moment**: 0.1947 μB per atom

=====

Entry 4:
Material: Tb2SbTe
Method: DFT, PBE-GGA
State: relaxed

```
Tb2SbTe
1.0
-0.041 -3.770 2.070
3.430 -1.239 2.280
-1.722 1.729 7.585
Te Tb Sb
1 2 1
Cartesian
0.824 -1.628 5.989
0.465 -0.878 2.879
-1.060 0.940 6.161
0.550 -1.624 10.459
```

Computed properties:
**E_form (uncorrected)**: -1.2274 eV/atom
**SG**: R3m, No. 160
**ΔE to the lowest computed polymorph**: 0.19 eV/f.u.
**Magnetic moment**: 0.0000 μB per atom

=====

Entry 5:
Material: Tb3SbTe2
Method: DFT, PBE-GGA
State: relaxed

```
Tb3SbTe2
1.0
-1.501 -4.031 -0.776
5.798 -2.157 -0.010
-2.548 1.991 6.897
Tb Te Sb
3 2 1
Cartesian
0.252 -3.761 0.585
-2.024 -1.020 3.060
1.497 -0.436 5.526
-1.409 0.623 5.643
3.158 -4.820 0.468
0.875 -2.099 3.055
```

Computed properties:
**E_form (uncorrected)**: -1.2969 eV/atom
**SG**: Immm, No. 71
**Magnetic moment**: 0.0000 μB per atom

=====

Entry 6:
Material: Tb3Sb2Te2
Method: DFT, PBE-GGA
State: relaxed

```
Tb3Sb2Te2
1.0
4.331 0.000 0.000
0.000 7.615 -0.806
-2.165 -3.211 7.756
Sb Tb Te
2 3 2
Cartesian
2.165 5.119 1.395
0.000 -0.714 5.555
2.165 0.337 3.492
0.000 3.808 -0.403
0.000 4.067 3.459
0.000 1.482 1.671
2.165 2.922 5.280
```

Computed properties:
**E_form (uncorrected)**: -1.0515 eV/atom
**SG**: C2/m, No. 12
**Magnetic moment**: 0.0000 μB per atom

=====

Entry 7:
Material: Tb8Sb2Te3
Method: DFT, PBE-GGA
State: relaxed

```
Tb8Sb2Te3
1.0
-6.504 -1.515 0.898
2.192 -5.188 7.127
-2.028 8.101 0.732
Tb Te Sb
8 3 2
Cartesian
-5.095 -2.344 5.650
-0.504 -2.911 7.365
-5.836 4.309 1.392
-5.733 0.155 1.876
-1.245 3.742 3.107
-4.496 1.136 5.750
-0.607 1.243 6.881
-1.844 0.262 3.007
-3.252 -0.757 0.449
0.565 -1.338 1.837
1.627 -3.851 5.290
-4.096 2.491 3.073
-2.244 -1.093 5.683
```

Computed properties:
**E_form (uncorrected)**: -0.8300 eV/atom
**SG**: C2/m, No. 12
**Magnetic moment**: 0.0000 μB per atom

=====

Entry 8:
Material: Tb4Sb2Te
Method: DFT, PBE-GGA
State: relaxed

```
Tb4Sb2Te
1.0
-1.124 -7.297 2.092
5.238 -1.884 -3.758
5.737 5.086 5.446
Te Sb Tb
2 4 8
Cartesian
5.205 -2.526 5.520
4.646 -1.569 -1.740
3.466 -0.255 1.957
6.386 -3.840 1.823
3.534 -5.757 -1.191
6.317 1.661 4.970
6.320 0.614 -0.502
3.568 -3.193 0.608
0.980 -2.262 2.464
6.284 -0.902 3.172
8.607 1.754 2.114
8.871 -1.833 1.316
1.245 -5.849 1.666
3.531 -4.709 4.282
```

Computed properties:
**E_form (uncorrected)**: -0.8329 eV/atom
**SG**: P2_1/m, No. 11
**ΔE to the lowest computed polymorph**: 1.52 eV/f.u.
**Magnetic moment**: 0.0000 μB per atom

=====

Question: Which value of magnetic moment does entry 2 give?
Answer: 0.0000 μB per atom

=====

Question: Among the records above, which one has the highest E_form (uncorrected)?
Answer: Tb12Sb5Te3

=====

Question: Which formula does entry 2 have?
Answer: Tb8Sb5Te